The following is a DFT calculation (GGA-PBE) of a relaxed structure of SmPuZr2.

Structure (POSCAR):
```
SmPuZr2
1.0
1.634 0.943 11.489
-1.634 0.943 11.489
0.000 -1.887 11.489
Sm Pu Zr
1 1 2
Direct
0.000 0.000 0.000 Sm
0.500 0.500 0.500 Pu
0.413 0.413 0.413 Zr
0.587 0.587 0.587 Zr
```

Properties
The calculation puts the energy above the most stable polymorph in this dataset at 0.750 eV per formula unit. The value obtained for the volume is 106.3 Å³ per cell. The value obtained for the electronic total energy is -34.66 eV/cell. The symmetry is R-3m (166). As for the formation energy: 1.49 eV per formula unit.